The following is a PBE calculation of an optimized crystal structure of ZnRhW2, from Alexandria via LeMat-Bulk.

Cell: 3.2259 3.2259 5.8484 Å, 90.00 90.00 90.00°
Last column: nearest neighbours and their distance in Å.
Positions (direct):
1 W 0.5000 0.5000 0.2495  4 W 2.68, 4 Zn 2.74, 1 Rh 2.82
2 W 0.0000 0.0000 0.0105  4 W 2.68, 4 Rh 2.80, 2 Zn 2.91-2.94
3 Rh 0.5000 0.5000 0.7321  4 Zn 2.63, 5 W 2.80-2.82
4 Zn 0.0000 0.0000 0.5079  4 Rh 2.63, 6 W 2.74-2.94

Summary:
The calculation puts the energy of formation at 32 kJ/mol of formula units. For the volume, the calculation gives 15.22 A^3/atom.